# CePrU2As4 | the Alexandria database | PBE | relaxed
# **ΔE_f**: -8.711 eV/f.u.
data_CePrU2As4
_space_group_name_H-M_alt 'P 1 2/m 1'
_space_group_IT_number 10
_cell_length_a 7.172
_cell_length_b 4.139
_cell_length_c 7.339
_cell_angle_alpha 90.00
_cell_angle_beta 109.00
_cell_angle_gamma 90.00
loop_
_space_group_symop_operation_xyz
'x,y,z'
'-x,-y,-z'
'-x,y,-z'
'x,-y,z'
loop_
_atom_site_label
_atom_site_type_symbol
_atom_site_fract_x
_atom_site_fract_y
_atom_site_fract_z
_atom_site_occupancy
Ce1 Ce 0.000 0.000 0.000 1
Pr1 Pr 0.500 0.500 0.000 1
U1 U 0.000 0.500 0.500 1
U2 U 0.500 0.000 0.500 1
As1 As 0.243 0.000 0.737 1
As2 As 0.251 0.500 0.261 1

# Ce2Pr3UAs6 | the Alexandria database | PBE | relaxed
# **ΔE_f**: -16.143 eV/f.u.
data_Ce2Pr3UAs6
_space_group_name_H-M_alt 'C 1 2/m 1'
_space_group_IT_number 12
_cell_length_a 18.506
_cell_length_b 4.224
_cell_length_c 8.508
_cell_angle_alpha 90.00
_cell_angle_beta 103.65
_cell_angle_gamma 90.00
loop_
_space_group_symop_operation_xyz
'x,y,z'
'-x,-y,-z'
'-x,y,-z'
'x,-y,z'
'x+1/2,y+1/2,z'
'-x+1/2,-y+1/2,-z'
'-x+1/2,y+1/2,-z'
'x+1/2,-y+1/2,z'
loop_
_atom_site_label
_atom_site_type_symbol
_atom_site_fract_x
_atom_site_fract_y
_atom_site_fract_z
_atom_site_occupancy
Ce1 Ce 0.166 0.000 0.332 1
Pr1 Pr 0.000 0.500 0.500 1
Pr2 Pr 0.168 0.000 0.833 1
U1 U 0.000 0.500 0.000 1
As1 As 0.001 0.000 0.238 1
As2 As 0.162 0.500 0.085 1
As3 As 0.169 0.500 0.578 1

# CePr2UAs4 | the Alexandria database | PBE | relaxed
# **ΔE_f**: -10.172 eV/f.u.
data_CePr2UAs4
_space_group_name_H-M_alt 'I -4 m 2'
_space_group_IT_number 119
_space_group_name_Hall 'I -4 -2'
_cell_length_a 5.981
_cell_length_b 5.981
_cell_length_c 11.961
_cell_angle_alpha 90.00
_cell_angle_beta 90.00
_cell_angle_gamma 90.00
loop_
_atom_site_label
_atom_site_type_symbol
_atom_site_fract_x
_atom_site_fract_y
_atom_site_fract_z
_atom_site_occupancy
Ce1 Ce 0.000 0.000 0.000 1
Pr1 Pr 0.000 0.000 0.500 1
Pr2 Pr 0.000 0.500 0.250 1
U1 U 0.000 0.500 0.750 1
As1 As 0.000 0.000 0.247 1
As2 As 0.000 0.500 0.509 1

# Ce2PrUAs4 | the Alexandria database | PBE | relaxed
# **ΔE_f**: -10.066 eV/f.u.
data_Ce2PrUAs4
_space_group_name_H-M_alt 'P 1 2/m 1'
_space_group_IT_number 10
_cell_length_a 7.271
_cell_length_b 4.192
_cell_length_c 7.321
_cell_angle_alpha 90.00
_cell_angle_beta 109.25
_cell_angle_gamma 90.00
loop_
_space_group_symop_operation_xyz
'x,y,z'
'-x,-y,-z'
'-x,y,-z'
'x,-y,z'
loop_
_atom_site_label
_atom_site_type_symbol
_atom_site_fract_x
_atom_site_fract_y
_atom_site_fract_z
_atom_site_occupancy
Ce1 Ce 0.000 0.000 0.000 1
Ce2 Ce 0.000 0.500 0.500 1
Pr1 Pr 0.500 0.000 0.500 1
U1 U 0.500 0.500 0.000 1
As1 As 0.249 0.500 0.241 1
As2 As 0.255 0.000 0.759 1